Entry 1:
VASP calculation (GGA-PBE) on crystalline SmSbPt at its relaxed geometry.

The calculation puts the raw formation energy at -0.67 eV/atom.

The space group is I4mm (No. 107) and the conventional cell measures 4.0582, 4.0582 and 8.9451 Å, with angles of 90.00, 90.00 and 90.00 degrees. The inequivalent atoms are Sm at (0.0000, 0.0000, 0.0000), Sb at (0.0000, 0.0000, 0.6656) and Pt at (0.0000, 0.0000, 0.3598).


Entry 2:
VASP calculation (GGA-PBE) on crystalline MgCrHg2 at its relaxed geometry.

The formation energy is 0.375 eV per atom.

The space group is I-42d (No. 122) and the conventional cell measures 4.3811, 4.3811 and 19.5552 Å, with angles of 90.00, 90.00 and 90.00 degrees. The inequivalent atoms are Mg at (0.0000, 0.0000, 0.0000), Cr at (0.0000, 0.0000, 0.5000) and Hg at (0.2430, 0.2500, 0.6250).


Entry 3:
VASP calculation (GGA-PBE) on crystalline AgSnPd at its relaxed geometry.

The formation energy is -0.236 eV per atom. The relative energy among the computed polymorphs is 12.1 meV per atom.

The space group is I4mm (No. 107) and the conventional cell measures 3.5323, 3.5323 and 8.9595 Å, with angles of 90.00, 90.00 and 90.00 degrees. The inequivalent atoms are Ag at (0.0000, 0.0000, 0.0000), Sn at (0.0000, 0.0000, 0.6787) and Pd at (0.0000, 0.0000, 0.3340).


Entry 4:
VASP calculation (GGA-PBE) on crystalline SiBRhAuCS at its relaxed geometry.

The calculation puts the raw formation energy at 0.25 eV/atom. The relative energy among the computed polymorphs is 74.6 meV per atom.

The space group is P1 (No. 1) and the conventional cell measures 4.1165, 4.7370 and 5.4323 Å, with angles of 90.63, 97.88 and 101.82 degrees. The inequivalent atoms are Si at (0.0000, 0.0000, 0.0000), B at (0.1314, 0.4335, 0.9192), Rh at (0.5969, 0.2954, 0.9954), Au at (0.6433, 0.4187, 0.5175), C at (0.9207, 0.6441, 0.8413) and S at (0.3848, 0.9711, 0.3019).


Entry 5:
VASP calculation (GGA-PBE) on crystalline KAl2Ir at its relaxed geometry.

The formation energy is -0.106 eV per atom. The relative energy among the computed polymorphs is 96.7 meV per atom.

The space group is Pmm2 (No. 25) and the conventional cell measures 2.9750, 3.8665 and 7.9588 Å, with angles of 90.00, 90.00 and 90.00 degrees. The inequivalent atoms are K at (0.0000, 0.0000, 0.0000), Al at (0.0000, 0.0000, 0.5821), Al at (0.5000, 0.5000, 0.3425) and Ir at (0.5000, 0.5000, 0.6506).


Entry 6:
VASP calculation (GGA-PBE) on crystalline Mg2TaAg at its relaxed geometry.

The formation energy is 0.145 eV per atom. The relative energy among the computed polymorphs is 84.6 meV per atom.

The space group is P4mm (No. 99) and the conventional cell measures 2.9960, 2.9960 and 8.5068 Å, with angles of 90.00, 90.00 and 90.00 degrees. The inequivalent atoms are Mg at (0.0000, 0.0000, 0.0000), Mg at (0.5000, 0.5000, 0.2819), Ta at (0.0000, 0.0000, 0.5292) and Ag at (0.5000, 0.5000, 0.7732).


Entry 7:
VASP calculation (GGA-PBE) on crystalline Sm2Zn2HgPd5 at its relaxed geometry.

The formation energy is -0.625 eV per atom.

The space group is P4/mbm (No. 127) and the conventional cell measures 9.7981, 9.7981 and 3.8632 Å, with angles of 90.00, 90.00 and 90.00 degrees. The inequivalent atoms are Sm at (0.1789, 0.3211, 0.0000), Zn at (0.1175, 0.6175, 0.0000), Hg at (0.0000, 0.0000, 0.0000), Pd at (0.0000, 0.5000, 0.5000) and Pd at (0.0683, 0.7909, 0.5000).


Entry 8:
VASP calculation (GGA-PBE) on crystalline Al5Cu2Ni at its relaxed geometry.

The formation energy is -0.178 eV per atom. The relative energy among the computed polymorphs is 22.3 meV per atom.

The space group is I4/mmm (No. 139) and the conventional cell measures 3.8453, 3.8453 and 15.0424 Å, with angles of 90.00, 90.00 and 90.00 degrees. The inequivalent atoms are Al at (0.0000, 0.0000, 0.0000), Al at (0.0000, 0.5000, 0.1292), Cu at (0.0000, 0.0000, 0.2476) and Ni at (0.0000, 0.0000, 0.5000).